Computed, not measured: Na2MnSnSe4 after structural relaxation at the GGA-PBE level of DFT.

formation energy (no corrections)	-0.6976	eV per atom
spin magnetization	4.15	μB per formula unit
E	-4.416	eV/atom

CIF file:
```
data_Na2MnSnSe4
_cell_length_a 6.836
_cell_length_b 3.946
_cell_length_c 7.381
_cell_angle_alpha 90.00
_cell_angle_beta 107.68
_cell_angle_gamma 90.00
_space_group_name_H-M_alt 'P 1 2/m 1'
_space_group_IT_number 10
loop_
_space_group_symop_operation_xyz
'x,y,z'
'-x,-y,-z'
'-x,y,-z'
'x,-y,z'
loop_
_atom_site_label
_atom_site_type_symbol
_atom_site_fract_x
_atom_site_fract_y
_atom_site_fract_z
_atom_site_occupancy
Na1 Na 0.000 0.000 0.000 1
Na2 Na 0.500 0.500 0.000 1
Mn1 Mn 0.000 0.500 0.500 1
Sn1 Sn 0.500 0.000 0.500 1
Se1 Se 0.227 0.000 0.709 1
Se2 Se 0.244 0.500 0.281 1
```

=====

Computed, not measured: La5P12Ir19 after structural relaxation at the GGA-PBE level of DFT.

energy of formation from the pure elements	-0.7775	eV per atom
spin magnetization	0.00	μB per formula unit
E	-7.942	eV/atom

CIF file:
```
data_La5P12Ir19
_cell_length_a 12.8443
_cell_length_b 12.8443
_cell_length_c 4.0474
_cell_angle_alpha 90.00
_cell_angle_beta 90.00
_cell_angle_gamma 120.00
_space_group_name_H-M_alt 'P -6 2 m'
_space_group_IT_number 189
_space_group_name_Hall 'P -6 -2'
loop_
_atom_site_label
_atom_site_type_symbol
_atom_site_fract_x
_atom_site_fract_y
_atom_site_fract_z
_atom_site_occupancy
La1 La 0.0000 0.8141 0.0000 1
La2 La 0.3333 0.6667 0.5000 1
P1 P 0.0000 0.1820 0.5000 1
P2 P 0.0000 0.6376 0.5000 1
P3 P 0.1709 0.4810 0.0000 1
Ir1 Ir 0.0000 0.0000 0.5000 1
Ir2 Ir 0.0000 0.2868 0.0000 1
Ir3 Ir 0.0000 0.4604 0.5000 1
Ir4 Ir 0.1288 0.6371 0.0000 1
Ir5 Ir 0.1807 0.3794 0.5000 1
```

=====

Computed, not measured: CsTa3Tc after structural relaxation at the GGA-PBE level of DFT.

energy of formation from the pure elements	1.5430	eV per atom
spin magnetization	0.00	μB per formula unit
E	-7.813	eV/atom

CIF file:
```
data_CsTa3Tc
_cell_length_a 5.007
_cell_length_b 5.007
_cell_length_c 5.007
_cell_angle_alpha 90.00
_cell_angle_beta 90.00
_cell_angle_gamma 90.00
_space_group_name_H-M_alt 'P m -3 m'
_space_group_IT_number 221
_space_group_name_Hall '-P 4 2 3'
loop_
_atom_site_label
_atom_site_type_symbol
_atom_site_fract_x
_atom_site_fract_y
_atom_site_fract_z
_atom_site_occupancy
Cs1 Cs 0.000 0.000 0.000 1
Ta1 Ta 0.000 0.500 0.500 1
Tc1 Tc 0.500 0.500 0.500 1
```

=====

Computed, not measured: BaBePb2 after structural relaxation at the GGA-PBE level of DFT.

energy of formation from the pure elements	-0.0413	eV per atom
spin magnetization	0.00	μB per formula unit
E	-3.308	eV/atom

CIF file:
```
data_BaBePb2
_cell_length_a 6.491
_cell_length_b 8.825
_cell_length_c 4.307
_cell_angle_alpha 90.00
_cell_angle_beta 90.00
_cell_angle_gamma 90.00
_space_group_name_H-M_alt 'C m m m'
_space_group_IT_number 65
_space_group_name_Hall '-C 2 2'
loop_
_atom_site_label
_atom_site_type_symbol
_atom_site_fract_x
_atom_site_fract_y
_atom_site_fract_z
_atom_site_occupancy
Ba1 Ba 0.000 0.000 0.000 1
Be1 Be 0.000 0.500 0.000 1
Pb1 Pb 0.000 0.324 0.500 1
```